[1]
A relaxed TaBeSiNi crystal, computed with GGA-PBE.

Summary:
DFT total energy	-26.3	eV per formula unit

```
data_TaBeSiNi
_chemical_formula_sum 'Ta4 Be4 Si4 Ni4'
_space_group_name_H-M_alt 'F -4 3 m'
_space_group_IT_number 216
_space_group_name_Hall 'F -4 2 3'
_cell_length_a 5.8365
_cell_length_b 5.8365
_cell_length_c 5.8365
_cell_angle_alpha 90.00
_cell_angle_beta 90.00
_cell_angle_gamma 90.00
loop_
_atom_site_label
_atom_site_fract_x
_atom_site_fract_y
_atom_site_fract_z
Ta1 0.0000 0.0000 0.0000
Be1 0.2500 0.2500 0.2500
Si1 0.0000 0.0000 0.5000
Ni1 0.2500 0.2500 0.7500
```



[2]
A relaxed CdS crystal, computed with GGA-PBE.

Summary:
DFT total energy	-5.9	eV per formula unit

```
data_CdS
_chemical_formula_sum 'Cd2 S2'
_space_group_name_H-M_alt 'P 4/n m m'
_space_group_IT_number 129
_cell_length_a 4.4792
_cell_length_b 4.4792
_cell_length_c 4.6295
_cell_angle_alpha 90.00
_cell_angle_beta 90.00
_cell_angle_gamma 90.00
loop_
_space_group_symop_operation_xyz
'x,y,z'
'-x,-y,-z'
'-y+1/2,x,z'
'y+1/2,-x,-z'
'-x+1/2,-y+1/2,z'
'x+1/2,y+1/2,-z'
'y,-x+1/2,z'
'-y,x+1/2,-z'
'x+1/2,-y,-z'
'-x+1/2,y,z'
'-y,-x,-z'
'y,x,z'
'-x,y+1/2,-z'
'x,-y+1/2,z'
'y+1/2,x+1/2,-z'
'-y+1/2,-x+1/2,z'
loop_
_atom_site_label
_atom_site_fract_x
_atom_site_fract_y
_atom_site_fract_z
Cd1 0.2500 0.7500 0.0000
S1 0.2500 0.2500 0.2946
```



[3]
A relaxed Sc4Nb2Al3C3 crystal, computed with GGA-PBE.

Summary:
DFT total energy	-90.7	eV per formula unit

```
data_Sc4Nb2Al3C3
_chemical_formula_sum 'Sc16 Nb8 Al12 C12'
_space_group_name_H-M_alt 'C 1 2/c 1'
_space_group_IT_number 15
_cell_length_a 9.7677
_cell_length_b 5.6470
_cell_length_c 14.6936
_cell_angle_alpha 90.00
_cell_angle_beta 103.28
_cell_angle_gamma 90.00
loop_
_space_group_symop_operation_xyz
'x,y,z'
'-x,-y,-z'
'-x,y,-z+1/2'
'x,-y,z+1/2'
'x+1/2,y+1/2,z'
'-x+1/2,-y+1/2,-z'
'-x+1/2,y+1/2,-z+1/2'
'x+1/2,-y+1/2,z+1/2'
loop_
_atom_site_label
_atom_site_fract_x
_atom_site_fract_y
_atom_site_fract_z
Sc1 0.1141 0.0751 0.0903
Sc2 0.2149 0.0884 0.4097
Nb1 0.0606 0.4129 0.9224
Al1 0.0000 0.1314 0.7500
Al2 0.1426 0.4407 0.2486
C1 0.0794 0.2617 0.5000
C2 0.2500 0.2500 0.0000
```



[4]
A relaxed DyTlCdTe3 crystal, computed with GGA-PBE.

Summary:
DFT total energy	-22.2	eV per formula unit

```
data_DyTlCdTe3
_chemical_formula_sum 'Dy4 Tl4 Cd4 Te12'
_space_group_name_H-M_alt 'P n m a'
_space_group_IT_number 62
_cell_length_a 15.4779
_cell_length_b 4.4711
_cell_length_c 11.9451
_cell_angle_alpha 90.00
_cell_angle_beta 90.00
_cell_angle_gamma 90.00
loop_
_space_group_symop_operation_xyz
'x,y,z'
'-x,-y,-z'
'-x+1/2,-y,z+1/2'
'x+1/2,y,-z+1/2'
'x+1/2,-y+1/2,-z+1/2'
'-x+1/2,y+1/2,z+1/2'
'-x,y+1/2,-z'
'x,-y+1/2,z'
loop_
_atom_site_label
_atom_site_fract_x
_atom_site_fract_y
_atom_site_fract_z
Dy1 0.0260 0.2500 0.1547
Tl1 0.2386 0.2500 0.4520
Cd1 0.0197 0.7500 0.3993
Te1 0.0968 0.7500 0.6257
Te2 0.1003 0.2500 0.9199
Te3 0.1519 0.7500 0.2357
```



[5]
A relaxed Y4Lu3Ni2Te2 crystal, computed with GGA-PBE.

Summary:
DFT total energy	-64.3	eV per formula unit

```
data_Y4Lu3Ni2Te2
_chemical_formula_sum 'Y8 Lu6 Ni4 Te4'
_space_group_name_H-M_alt 'I m m 2'
_space_group_IT_number 44
_cell_length_a 3.8392
_cell_length_b 15.4931
_cell_length_c 9.5411
_cell_angle_alpha 90.00
_cell_angle_beta 90.00
_cell_angle_gamma 90.00
loop_
_space_group_symop_operation_xyz
'x,y,z'
'-x,-y,z'
'-x,y,z'
'x,-y,z'
'x+1/2,y+1/2,z+1/2'
'-x+1/2,-y+1/2,z+1/2'
'-x+1/2,y+1/2,z+1/2'
'x+1/2,-y+1/2,z+1/2'
loop_
_atom_site_label
_atom_site_fract_x
_atom_site_fract_y
_atom_site_fract_z
Y1 0.0000 0.1317 0.0000
Y2 0.0000 0.3536 0.8522
Lu1 0.0000 0.0000 0.5828
Lu2 0.0000 0.3154 0.2013
Ni1 0.0000 0.2373 0.5134
Te1 0.0000 0.0000 0.2474
Te2 0.0000 0.5000 0.3443
```



[6]
A relaxed YTm2Al3NiAu2 crystal, computed with GGA-PBE.

Summary:
DFT total energy	-45.7	eV per formula unit

```
data_YTm2Al3NiAu2
_chemical_formula_sum 'Y2 Tm4 Al6 Ni2 Au4'
_space_group_name_H-M_alt 'A m m 2'
_space_group_IT_number 38
_cell_length_a 4.0729
_cell_length_b 12.3611
_cell_length_c 7.1019
_cell_angle_alpha 90.00
_cell_angle_beta 90.00
_cell_angle_gamma 90.00
loop_
_space_group_symop_operation_xyz
'x,y,z'
'-x,-y,z'
'-x,y,z'
'x,-y,z'
'x,y+1/2,z+1/2'
'-x,-y+1/2,z+1/2'
'-x,y+1/2,z+1/2'
'x,-y+1/2,z+1/2'
loop_
_atom_site_label
_atom_site_fract_x
_atom_site_fract_y
_atom_site_fract_z
Y1 0.0000 0.0000 0.0000
Tm1 0.0000 0.1995 0.3987
Al1 0.5000 0.0000 0.3712
Al2 0.5000 0.1127 0.7104
Ni1 0.0000 0.0000 0.5932
Au1 0.5000 0.1698 0.0993
```